The following is a PBE-GGA calculation of a relaxed structure of Tb7Co2Pd2, from the Alexandria database.

As for the space group: C2/m, No. 12. For the formation energy, the calculation gives -0.27 eV per atom. As for the magnetic moment: 0.00 μB per formula unit.

Structure (CIF):
```
data_Tb7Co2Pd2
_cell_length_a 6.590
_cell_length_b 6.590
_cell_length_c 6.763
_cell_angle_alpha 90.06
_cell_angle_beta 90.06
_cell_angle_gamma 70.56
_space_group_name_H-M_alt 'P 1'
_space_group_IT_number 1
_space_group_name_Hall 'P 1'
loop_
_atom_site_label
_atom_site_type_symbol
_atom_site_fract_x
_atom_site_fract_y
_atom_site_fract_z
Tb1 Tb 0.000 0.000 0.000
Tb2 Tb 0.000 0.500 0.256
Tb3 Tb 0.000 0.500 0.744
Tb4 Tb 0.500 0.000 0.256
Tb5 Tb 0.500 0.000 0.744
Tb6 Tb 0.500 0.500 0.249
Tb7 Tb 0.500 0.500 0.751
Co1 Co 0.292 0.292 0.000
Co2 Co 0.708 0.708 0.000
Pd1 Pd 0.185 0.815 0.500
Pd2 Pd 0.815 0.185 0.500
```